# 1
CsZn2SnP: relaxed, GGA-PBEsol.

The calculation puts the formation energy at 1.59 eV/f.u.

Cell: 5.373 5.373 5.175 Å, 90.00 90.00 90.00°
Space group P4/mmm (No. 123)
One atom of each set of equivalent atoms:
Cs (0.000, 0.000, 0.000) (multiplicity 1)
Zn (0.000, 0.500, 0.500) (multiplicity 2)
Sn (0.500, 0.500, 0.500) (multiplicity 1)
P (0.500, 0.500, 0.000) (multiplicity 1)


# 2
TlCoSe2: relaxed, GGA-PBEsol.

Cell: 3.218 3.218 8.373 Å, 90.00 90.00 90.00°
Space group P4mm (No. 99)
One atom of each set of equivalent atoms:
Tl (0.000, 0.000, 0.000) (multiplicity 1)
Co (0.500, 0.500, 0.478) (multiplicity 1)
Se (0.000, 0.000, 0.395) (multiplicity 1)
Se (0.500, 0.500, 0.745) (multiplicity 1)


# 3
Mn2SiW: relaxed, GGA-PBEsol.

Cell: 4.012 4.012 2.943 Å, 90.00 90.00 90.00°
Space group P4/mmm (No. 123)
One atom of each set of equivalent atoms:
Mn (0.000, 0.500, 0.000) (multiplicity 2)
Si (0.000, 0.000, 0.500) (multiplicity 1)
W (0.500, 0.500, 0.500) (multiplicity 1)


# 4
ScCoGe2B: relaxed, GGA-PBEsol.

The calculation puts the formation energy at 0.85 eV/f.u.

Cell: 4.537 4.537 3.741 Å, 90.00 90.00 90.00°
Space group P4/mmm (No. 123)
One atom of each set of equivalent atoms:
Sc (0.000, 0.000, 0.000) (multiplicity 1)
Co (0.500, 0.500, 0.500) (multiplicity 1)
Ge (0.000, 0.500, 0.500) (multiplicity 2)
B (0.500, 0.500, 0.000) (multiplicity 1)


| no. | VASP energy (Ry per atom) | total magnetic moment (μB per cell) | Fermi-level density of states (states/eV per atom) |
| --- | --- | --- | --- |
| 1 | -0.185 | 0.00 | 0.4191 |
| 2 | -0.333 | 0.43 | 0.8869 |
| 3 | -0.738 | 0.00 | 0.4136 |
| 4 | -0.447 | 0.00 | 0.6937 |